Entry 1:
ReMo8W2 | GGA-PBE | optimized geometry

a b c (Å): 6.8910 6.8910 6.8765
angles (deg): 118.01 118.01 37.90
Atoms (fractional coordinates):
Re 0.0000 0.0000 0.0000
Mo 0.0912 0.0912 0.4549
Mo 0.1817 0.1817 0.9100
Mo 0.3640 0.3640 0.8183
Mo 0.4548 0.4548 0.2722
Mo 0.5452 0.5452 0.7278
Mo 0.6360 0.6360 0.1817
Mo 0.8183 0.8183 0.0900
Mo 0.9088 0.9088 0.5451
W 0.2728 0.2728 0.3634
W 0.7272 0.7272 0.6366

electronic total energy = -11.363 eV per atom
crystal system = monoclinic
formation energy = 0.00 eV per atom
space-group type = C2/m (12)
DOS at the Fermi energy = 0.7172 states/eV/atom

---

Entry 2:
ReMo2W | GGA-PBE | optimized geometry

a b c (Å): 5.4514 8.9557 2.7296
angles (deg): 90.00 109.46 90.00
Atoms (fractional coordinates):
Re 0.0000 0.0000 0.0000
Re 0.5000 0.5000 0.0000
Mo 0.2500 0.2500 0.5000
Mo 0.2500 0.7500 0.5000
Mo 0.7500 0.2500 0.5000
Mo 0.7500 0.7500 0.5000
W 0.0000 0.5000 0.0000
W 0.5000 0.0000 0.0000

electronic total energy = -11.733 eV per atom
crystal system = monoclinic
formation energy = 0.03 eV per atom
energy above the most stable polymorph in this dataset = 14 meV/atom
space-group type = C2/m (12)
DOS at the Fermi energy = 0.8650 states/eV/atom

---

Entry 3:
ReMoW3 | GGA-PBE | optimized geometry

a b c (Å): 8.8546 8.8546 6.8059
angles (deg): 111.00 111.00 19.29
Atoms (fractional coordinates):
Re 0.2312 0.2312 0.1337
Re 0.7688 0.7688 0.8663
Mo 0.0743 0.0743 0.0268
Mo 0.9257 0.9257 0.9732
W 0.1304 0.1304 0.6763
W 0.3210 0.3210 0.6019
W 0.4855 0.4855 0.6787
W 0.5145 0.5145 0.3213
W 0.6790 0.6790 0.3981
W 0.8696 0.8696 0.3237

electronic total energy = -12.005 eV per atom
crystal system = monoclinic
formation energy = 0.42 eV per atom
energy above the most stable polymorph in this dataset = 388 meV/atom
space-group type = C2/m (12)
DOS at the Fermi energy = 0.9400 states/eV/atom

---

Entry 4:
ReMo4W4 | GGA-PBE | optimized geometry

a b c (Å): 6.1128 6.1128 6.1128
angles (deg): 97.93 97.93 136.39
Atoms (fractional coordinates):
Re 0.0000 0.0000 0.0000
Mo 0.3189 0.3528 0.6717
Mo 0.3528 0.6811 0.0340
Mo 0.6472 0.3189 0.9660
Mo 0.6811 0.6472 0.3283
W 0.0136 0.6696 0.6832
W 0.3304 0.0136 0.3440
W 0.6696 0.9864 0.6560
W 0.9864 0.3304 0.3168

electronic total energy = -11.620 eV per atom
crystal system = tetragonal
formation energy = 0.33 eV per atom
space-group type = I4/m (87)
DOS at the Fermi energy = 1.0679 states/eV/atom

---

Entry 5:
ReMo2W | GGA-PBE | optimized geometry

a b c (Å): 3.1560 3.1560 6.3091
angles (deg): 90.00 90.00 90.00
Atoms (fractional coordinates):
Re 0.0000 0.0000 0.0000
Mo 0.0000 0.0000 0.4984
Mo 0.5000 0.5000 0.7385
W 0.5000 0.5000 0.2422

electronic total energy = -11.745 eV per atom
crystal system = tetragonal
formation energy = 0.02 eV per atom
energy above the most stable polymorph in this dataset = 3 meV/atom
space-group type = P4mm (99)
DOS at the Fermi energy = 0.6609 states/eV/atom

---

Entry 6:
ReMo2W | GGA-PBE | optimized geometry

a b c (Å): 3.1555 4.4510 4.4766
angles (deg): 90.00 90.00 90.00
Atoms (fractional coordinates):
Re 0.0000 0.0000 0.0000
Mo 0.0000 0.5000 0.5000
Mo 0.5000 0.0000 0.5000
W 0.5000 0.5000 0.0000

electronic total energy = -11.745 eV per atom
crystal system = orthorhombic
formation energy = 0.02 eV per atom
energy above the most stable polymorph in this dataset = 3 meV/atom
space-group type = Pmmm (47)
DOS at the Fermi energy = 0.7923 states/eV/atom

---

Entry 7:
Re2MoW | GGA-PBE | optimized geometry

a b c (Å): 3.1458 4.4445 8.8905
angles (deg): 90.00 90.00 90.00
Atoms (fractional coordinates):
Re 0.0000 0.0000 0.0000
Re 0.0000 0.5000 0.2400
Re 0.5000 0.0000 0.7400
Re 0.5000 0.5000 0.5000
Mo 0.0000 0.0000 0.4858
Mo 0.5000 0.5000 0.9858
W 0.0000 0.5000 0.7449
W 0.5000 0.0000 0.2449

electronic total energy = -12.080 eV per atom
crystal system = orthorhombic
formation energy = 0.09 eV per atom
energy above the most stable polymorph in this dataset = 1 meV/atom
space-group type = Imm2 (44)
DOS at the Fermi energy = 0.7058 states/eV/atom

---

Entry 8:
ReMo2W | GGA-PBE | optimized geometry

a b c (Å): 2.7356 4.4667 5.2298
angles (deg): 90.00 100.40 90.00
Atoms (fractional coordinates):
Re 0.0000 0.0000 0.0000
Mo 0.2552 0.5000 0.7507
Mo 0.7448 0.5000 0.2493
W 0.5000 0.0000 0.5000

electronic total energy = -11.735 eV per atom
crystal system = monoclinic
formation energy = 0.03 eV per atom
energy above the most stable polymorph in this dataset = 13 meV/atom
space-group type = P2/m (10)
DOS at the Fermi energy = 0.7856 states/eV/atom

---

Entry 9:
ReMo5W6 | GGA-PBE | optimized geometry

a b c (Å): 7.7479 7.7479 7.7479
angles (deg): 146.33 131.60 60.25
Atoms (fractional coordinates):
Re 0.0000 0.0000 0.0000
Mo 0.1656 0.6656 0.5000
Mo 0.3330 0.3330 0.0000
Mo 0.5000 0.0000 0.5000
Mo 0.6670 0.6670 0.0000
Mo 0.8344 0.3344 0.5000
W 0.0836 0.8334 0.2502
W 0.2502 0.5000 0.7502
W 0.4168 0.1666 0.2502
W 0.5832 0.8334 0.7498
W 0.7498 0.5000 0.2498
W 0.9164 0.1666 0.7498

electronic total energy = -12.037 eV per atom
crystal system = orthorhombic
formation energy = -0.01 eV per atom
space-group type = Immm (71)
DOS at the Fermi energy = 0.6045 states/eV/atom

---

Entry 10:
ReMo5W2 | GGA-PBE | optimized geometry

a b c (Å): 5.4303 4.4423 10.5882
angles (deg): 90.00 90.24 90.00
Atoms (fractional coordinates):
Re 0.0000 0.0000 0.0000
Re 0.5000 0.0000 0.5000
Mo 0.0000 0.0000 0.5000
Mo 0.1604 0.0000 0.2496
Mo 0.1658 0.5000 0.8803
Mo 0.3320 0.5000 0.3802
Mo 0.3397 0.0000 0.7493
Mo 0.5000 0.0000 0.0000
Mo 0.6603 0.0000 0.2507
Mo 0.6680 0.5000 0.6198
Mo 0.8342 0.5000 0.1197
Mo 0.8396 0.0000 0.7504
W 0.1682 0.5000 0.6203
W 0.3341 0.5000 0.1201
W 0.6659 0.5000 0.8799
W 0.8318 0.5000 0.3797

electronic total energy = -11.452 eV per atom
crystal system = monoclinic
formation energy = 0.11 eV per atom
space-group type = P2/m (10)
DOS at the Fermi energy = 0.4786 states/eV/atom

---

Entry 11:
Re2Mo6W3 | GGA-PBE | optimized geometry

a b c (Å): 14.8643 14.8643 14.8643
angles (deg): 169.96 161.98 20.66
Atoms (fractional coordinates):
Re 0.0444 0.0444 0.0000
Re 0.9556 0.9556 0.0000
Mo 0.1326 0.6326 0.5000
Mo 0.2237 0.2237 0.0000
Mo 0.4079 0.9079 0.5000
Mo 0.5921 0.0921 0.5000
Mo 0.7763 0.7763 0.0000
Mo 0.8674 0.3674 0.5000
W 0.3167 0.3167 0.0000
W 0.5000 0.5000 0.0000
W 0.6833 0.6833 0.0000

electronic total energy = -11.350 eV per atom
crystal system = orthorhombic
formation energy = 0.35 eV per atom
space-group type = Immm (71)
DOS at the Fermi energy = 1.1023 states/eV/atom

---

Entry 12:
ReMo2W | GGA-PBE | optimized geometry

a b c (Å): 7.2101 7.2101 5.2509
angles (deg): 90.00 90.00 90.00
Atoms (fractional coordinates):
Re 0.0000 0.0000 0.0000
Re 0.0000 0.5000 0.2500
Re 0.5000 0.0000 0.7500
Re 0.5000 0.5000 0.5000
Mo 0.2411 0.2500 0.1250
Mo 0.2500 0.7411 0.3750
Mo 0.2500 0.7589 0.8750
Mo 0.2589 0.2500 0.6250
Mo 0.7411 0.7500 0.6250
Mo 0.7500 0.2411 0.8750
Mo 0.7500 0.2589 0.3750
Mo 0.7589 0.7500 0.1250
W 0.0000 0.0000 0.5000
W 0.0000 0.5000 0.7500
W 0.5000 0.0000 0.2500
W 0.5000 0.5000 0.0000

electronic total energy = -10.857 eV per atom
crystal system = tetragonal
formation energy = 0.91 eV per atom
energy above the most stable polymorph in this dataset = 891 meV/atom
space-group type = I-42d (122)
DOS at the Fermi energy = 0.8549 states/eV/atom

---

Entry 13:
ReMo3W9 | GGA-PBE | optimized geometry

a b c (Å): 7.1143 7.1143 6.9031
angles (deg): 95.97 95.97 36.82
Atoms (fractional coordinates):
Re 0.0000 0.0000 0.0000
Mo 0.5384 0.5384 0.6932
Mo 0.6918 0.6918 0.4609
Mo 0.9232 0.9232 0.6141
W 0.0766 0.0766 0.3840
W 0.1536 0.1536 0.7693
W 0.2307 0.2307 0.1527
W 0.3078 0.3078 0.5380
W 0.3851 0.3851 0.9217
W 0.4613 0.4613 0.3065
W 0.6150 0.6150 0.0758
W 0.7693 0.7693 0.8453
W 0.8459 0.8459 0.2296

electronic total energy = -12.421 eV per atom
crystal system = monoclinic
formation energy = 0.00 eV per atom
space-group type = Cm (8)
DOS at the Fermi energy = 0.6002 states/eV/atom

---

Entry 14:
Re2MoW | GGA-PBE | optimized geometry

a b c (Å): 5.7468 5.7468 11.3799
angles (deg): 90.00 90.00 90.00
Atoms (fractional coordinates):
Re 0.2477 0.2500 0.1250
Re 0.2500 0.7477 0.3750
Re 0.2500 0.7523 0.8750
Re 0.2523 0.2500 0.6250
Re 0.7477 0.7500 0.6250
Re 0.7500 0.2477 0.8750
Re 0.7500 0.2523 0.3750
Re 0.7523 0.7500 0.1250
Mo 0.0000 0.0000 0.0000
Mo 0.0000 0.5000 0.2500
Mo 0.5000 0.0000 0.7500
Mo 0.5000 0.5000 0.5000
W 0.0000 0.0000 0.5000
W 0.0000 0.5000 0.7500
W 0.5000 0.0000 0.2500
W 0.5000 0.5000 0.0000

electronic total energy = -10.191 eV per atom
crystal system = tetragonal
formation energy = 1.98 eV per atom
energy above the most stable polymorph in this dataset = 1890 meV/atom
space-group type = I-42d (122)
DOS at the Fermi energy = 1.3094 states/eV/atom

---

Entry 15:
Re2MoW | GGA-PBE | optimized geometry

a b c (Å): 5.4526 8.8957 2.7179
angles (deg): 90.00 109.62 90.00
Atoms (fractional coordinates):
Re 0.2500 0.2500 0.0000
Re 0.2500 0.7500 0.0000
Re 0.7500 0.2500 0.0000
Re 0.7500 0.7500 0.0000
Mo 0.0000 0.0000 0.5000
Mo 0.5000 0.5000 0.5000
W 0.0000 0.5000 0.5000
W 0.5000 0.0000 0.5000

electronic total energy = -12.060 eV per atom
crystal system = monoclinic
formation energy = 0.11 eV per atom
energy above the most stable polymorph in this dataset = 21 meV/atom
space-group type = C2/m (12)
DOS at the Fermi energy = 0.8180 states/eV/atom

---

Entry 16:
ReMoW14 | GGA-PBE | optimized geometry

a b c (Å): 5.5020 5.5020 9.0039
angles (deg): 90.00 90.00 109.33
Atoms (fractional coordinates):
Re 0.0000 0.0000 0.0000
Mo 0.5000 0.5000 0.0000
W 0.0000 0.0000 0.5000
W 0.0000 0.5000 0.0000
W 0.0000 0.5000 0.5000
W 0.2502 0.2502 0.2497
W 0.2502 0.2502 0.7503
W 0.2498 0.7502 0.2489
W 0.2498 0.7502 0.7511
W 0.5000 0.0000 0.0000
W 0.5000 0.0000 0.5000
W 0.5000 0.5000 0.5000
W 0.7502 0.2498 0.2489
W 0.7502 0.2498 0.7511
W 0.7498 0.7498 0.2497
W 0.7498 0.7498 0.7503

electronic total energy = -12.782 eV per atom
crystal system = orthorhombic
formation energy = 0.01 eV per atom
space-group type = Cmmm (65)
DOS at the Fermi energy = 0.6061 states/eV/atom

---

Entry 17:
Re2MoW | GGA-PBE | optimized geometry

a b c (Å): 5.6377 7.8858 2.8052
angles (deg): 90.00 90.00 90.00
Atoms (fractional coordinates):
Re 0.2500 0.2500 0.0000
Re 0.2500 0.7500 0.0000
Re 0.7500 0.2500 0.0000
Re 0.7500 0.7500 0.0000
Mo 0.0000 0.0000 0.5000
Mo 0.5000 0.5000 0.5000
W 0.0000 0.5000 0.5000
W 0.5000 0.0000 0.5000

electronic total energy = -11.968 eV per atom
crystal system = orthorhombic
formation energy = 0.20 eV per atom
energy above the most stable polymorph in this dataset = 113 meV/atom
space-group type = Cmmm (65)
DOS at the Fermi energy = 0.8447 states/eV/atom

---

Entry 18:
ReMo3W4 | GGA-PBE | optimized geometry

a b c (Å): 6.3357 6.3340 6.3368
angles (deg): 90.00 90.00 90.00
Atoms (fractional coordinates):
Re 0.0000 0.0000 0.0000
Re 0.5000 0.0000 0.5000
Mo 0.0000 0.5000 0.0000
Mo 0.2500 0.2504 0.2500
Mo 0.2500 0.7496 0.7500
Mo 0.5000 0.5000 0.5000
Mo 0.7500 0.2504 0.2500
Mo 0.7500 0.7496 0.7500
W 0.0000 0.0000 0.5000
W 0.0000 0.5000 0.5000
W 0.2500 0.2495 0.7500
W 0.2500 0.7505 0.2500
W 0.5000 0.0000 0.0000
W 0.5000 0.5000 0.0000
W 0.7500 0.2495 0.7500
W 0.7500 0.7505 0.2500

electronic total energy = -12.084 eV per atom
crystal system = orthorhombic
formation energy = 0.01 eV per atom
energy above the most stable polymorph in this dataset = 0 meV/atom
space-group type = Pmna (53)
DOS at the Fermi energy = 0.8775 states/eV/atom

---

Entry 19:
Re2MoW | GGA-PBE | optimized geometry

a b c (Å): 3.9742 3.9742 7.9000
angles (deg): 90.00 90.00 90.00
Atoms (fractional coordinates):
Re 0.0000 0.5000 0.2500
Re 0.0000 0.5000 0.7500
Re 0.5000 0.0000 0.2500
Re 0.5000 0.0000 0.7500
Mo 0.0000 0.0000 0.0000
Mo 0.5000 0.5000 0.5000
W 0.0000 0.0000 0.5000
W 0.5000 0.5000 0.0000

electronic total energy = -11.964 eV per atom
crystal system = tetragonal
formation energy = 0.21 eV per atom
energy above the most stable polymorph in this dataset = 117 meV/atom
space-group type = I4/mmm (139)
DOS at the Fermi energy = 0.9612 states/eV/atom

---

Entry 20:
Re2Mo6W | GGA-PBE | optimized geometry

a b c (Å): 5.7607 5.8130 9.5463
angles (deg): 90.00 112.50 90.00
Atoms (fractional coordinates):
Re 0.0905 0.1409 0.2548
Re 0.0905 0.3591 0.7548
Re 0.9095 0.6409 0.2452
Re 0.9095 0.8591 0.7452
Mo 0.2078 0.0928 0.0041
Mo 0.2078 0.4072 0.5041
Mo 0.3826 0.6983 0.9669
Mo 0.3826 0.8017 0.4669
Mo 0.4154 0.0215 0.7468
Mo 0.4154 0.4785 0.2468
Mo 0.5846 0.5215 0.7532
Mo 0.5846 0.9785 0.2532
Mo 0.6174 0.1983 0.5331
Mo 0.6174 0.3017 0.0331
Mo 0.7922 0.5928 0.4959
Mo 0.7922 0.9072 0.9959
W 0.0000 0.0000 0.5000
W 0.0000 0.5000 0.0000

electronic total energy = -10.970 eV per atom
crystal system = monoclinic
formation energy = 0.46 eV per atom
energy above the most stable polymorph in this dataset = 281 meV/atom
space-group type = P2_1/c (14)
DOS at the Fermi energy = 0.9296 states/eV/atom